An optimized crystal structure of OsRu2Se. Source: Alexandria, functional PBE-GGA.

As for the mass density: 13.3 g cm⁻³. The uncorrected formation energy comes out at 704 meV/atom.

The structure belongs to space group P4/mmm (No. 123); the cell edges are 3.943, 3.943 and 3.792 Å and the angles 90.00°, 90.00° and 90.00°. The inequivalent atoms are Os at (0.000, 0.000, 0.000), Ru at (0.000, 0.500, 0.500) and Se at (0.500, 0.500, 0.000).

***

An optimized crystal structure of Os2RuSe. Source: Alexandria, functional PBE-GGA.

As for the mass density: 15.3 g cm⁻³. The uncorrected formation energy comes out at 455 meV/atom.

The structure belongs to space group C2/m (No. 12); the cell edges are 9.726, 2.839 and 4.400 Å and the angles 90.00°, 91.13° and 90.00°. The inequivalent atoms are Os at (0.221, 0.000, 0.235), Ru at (0.000, 0.500, 0.000) and Se at (0.000, 0.000, 0.500).

***

An optimized crystal structure of Os2RuSe. Source: Alexandria, functional PBE-GGA.

As for the mass density: 15.5 g cm⁻³. The uncorrected formation energy comes out at 715 meV/atom.

The structure belongs to space group Pmmm (No. 47); the cell edges are 2.820, 4.575 and 4.659 Å and the angles 90.00°, 90.00° and 90.00°. The inequivalent atoms are Os at (0.000, 0.000, 0.000), Os at (0.500, 0.500, 0.000), Ru at (0.000, 0.500, 0.500) and Se at (0.500, 0.000, 0.500).

***

An optimized crystal structure of OsRuSe2. Source: Alexandria, functional PBE-GGA.

As for the mass density: 12.1 g cm⁻³. As for the offset from the most stable computed form: 1.49 eV per formula unit. The uncorrected formation energy comes out at 529 meV/atom.

The structure belongs to space group Fm-3m (No. 225); the cell edges are 6.270, 6.270 and 6.270 Å and the angles 90.00°, 90.00° and 90.00°. The inequivalent atoms are Os at (0.000, 0.000, 0.000), Ru at (0.000, 0.000, 0.500) and Se at (0.250, 0.250, 0.250).

***

An optimized crystal structure of OsRu2Se. Source: Alexandria, functional PBE-GGA.

As for the mass density: 13.3 g cm⁻³. The uncorrected formation energy comes out at 385 meV/atom.

The structure belongs to space group P2/m (No. 10); the cell edges are 2.861, 3.984 and 5.321 Å and the angles 90.00°, 104.52° and 90.00°. The inequivalent atoms are Os at (0.000, 0.000, 0.000), Ru at (0.376, 0.500, 0.749) and Se at (0.000, 0.000, 0.500).

***

An optimized crystal structure of Os2RuSe. Source: Alexandria, functional PBE-GGA.

As for the mass density: 15.7 g cm⁻³. The uncorrected formation energy comes out at 726 meV/atom.

The structure belongs to space group I-4m2 (No. 119); the cell edges are 4.008, 4.008 and 7.387 Å and the angles 90.00°, 90.00° and 90.00°. The inequivalent atoms are Os at (0.000, 0.000, 0.000), Os at (0.000, 0.500, 0.250), Ru at (0.000, 0.500, 0.750) and Se at (0.000, 0.000, 0.500).

***

An optimized crystal structure of Os2RuSe. Source: Alexandria, functional PBE-GGA.

As for the mass density: 15.6 g cm⁻³. The uncorrected formation energy comes out at 795 meV/atom.

The structure belongs to space group P4/mmm (No. 123); the cell edges are 4.566, 4.566 and 2.858 Å and the angles 90.00°, 90.00° and 90.00°. The inequivalent atoms are Os at (0.000, 0.500, 0.000), Ru at (0.000, 0.000, 0.500) and Se at (0.500, 0.500, 0.500).

***

An optimized crystal structure of OsRu2Se. Source: Alexandria, functional PBE-GGA.

As for the mass density: 13.4 g cm⁻³. The uncorrected formation energy comes out at 304 meV/atom.

The structure belongs to space group R-3m (No. 166, hexagonal axes); the cell edges are 2.8389, 2.8389 and 25.0951 Å and the angles 90.00°, 90.00° and 120.00°. The inequivalent atoms are Os at (0.0000, 0.0000, 0.0000), Ru at (0.0000, 0.0000, 0.2476) and Se at (0.0000, 0.0000, 0.5000).

***

An optimized crystal structure of OsRuSe2. Source: Alexandria, functional PBE-GGA.

As for the mass density: 12.0 g cm⁻³. As for the offset from the most stable computed form: 1.06 eV per formula unit. The uncorrected formation energy comes out at 421 meV/atom.

The structure belongs to space group R-3m (No. 166, hexagonal axes); the cell edges are 3.0453, 3.0453 and 23.2862 Å and the angles 90.00°, 90.00° and 120.00°. The inequivalent atoms are Os at (0.0000, 0.0000, 0.0000), Ru at (0.0000, 0.0000, 0.5000) and Se at (0.0000, 0.0000, 0.2495).

***

An optimized crystal structure of OsRuSe2. Source: Alexandria, functional PBE-GGA.

As for the mass density: 9.5 g cm⁻³. As for the offset from the most stable computed form: 0.11 eV per formula unit. The uncorrected formation energy comes out at 186 meV/atom.

The structure belongs to space group Pm (No. 6); the cell edges are 2.830, 3.737 and 7.568 Å and the angles 90.00°, 99.82° and 90.00°. The inequivalent atoms are Os at (0.000, 0.000, 0.000), Ru at (0.573, 0.500, 0.161), Se at (0.152, 0.000, 0.336) and Se at (0.894, 0.500, 0.767).

***

An optimized crystal structure of OsRuSe2. Source: Alexandria, functional PBE-GGA.

As for the mass density: 11.9 g cm⁻³. As for the offset from the most stable computed form: 2.60 eV per formula unit. The uncorrected formation energy comes out at 808 meV/atom.

The structure belongs to space group I-4m2 (No. 119); the cell edges are 3.762, 3.762 and 8.893 Å and the angles 90.00°, 90.00° and 90.00°. The inequivalent atoms are Os at (0.000, 0.000, 0.000), Ru at (0.000, 0.500, 0.750), Se at (0.000, 0.000, 0.500) and Se at (0.000, 0.500, 0.250).

***

An optimized crystal structure of Os2RuSe. Source: Alexandria, functional PBE-GGA.

As for the mass density: 15.7 g cm⁻³. The uncorrected formation energy comes out at 774 meV/atom.

The structure belongs to space group I4/mmm (No. 139); the cell edges are 3.956, 3.956 and 7.578 Å and the angles 90.00°, 90.00° and 90.00°. The inequivalent atoms are Os at (0.000, 0.500, 0.250), Ru at (0.000, 0.000, 0.000) and Se at (0.000, 0.000, 0.500).

***

An optimized crystal structure of OsRu2Se. Source: Alexandria, functional PBE-GGA.

As for the mass density: 13.3 g cm⁻³. The uncorrected formation energy comes out at 508 meV/atom.

The structure belongs to space group Cmmm (No. 65); the cell edges are 5.653, 7.352 and 2.837 Å and the angles 90.00°, 90.00° and 90.00°. The inequivalent atoms are Os at (0.000, 0.000, 0.000), Ru at (0.250, 0.250, 0.500) and Se at (0.000, 0.500, 0.000).

***

An optimized crystal structure of Os2RuSe. Source: Alexandria, functional PBE-GGA.

As for the mass density: 15.0 g cm⁻³. The uncorrected formation energy comes out at 861 meV/atom.

The structure belongs to space group Cmmm (No. 65); the cell edges are 2.754, 4.740 and 9.515 Å and the angles 90.00°, 90.00° and 90.00°. The inequivalent atoms are Os at (0.000, 0.000, 0.237), Ru at (0.000, 0.500, 0.000) and Se at (0.000, 0.500, 0.500).

***

An optimized crystal structure of Os2RuSe. Source: Alexandria, functional PBE-GGA.

As for the mass density: 15.5 g cm⁻³. The uncorrected formation energy comes out at 878 meV/atom.

The structure belongs to space group P4/mmm (No. 123); the cell edges are 3.799, 3.799 and 4.147 Å and the angles 90.00°, 90.00° and 90.00°. The inequivalent atoms are Os at (0.000, 0.500, 0.000), Ru at (0.000, 0.000, 0.500) and Se at (0.500, 0.500, 0.500).

***

An optimized crystal structure of OsRu2Se. Source: Alexandria, functional PBE-GGA.

As for the mass density: 12.5 g cm⁻³. The uncorrected formation energy comes out at 753 meV/atom.

The structure belongs to space group Cmm2 (No. 35); the cell edges are 2.777, 4.724 and 9.522 Å and the angles 90.00°, 90.00° and 90.00°. The inequivalent atoms are Os at (0.000, 0.000, 0.000), Ru at (0.000, 0.000, 0.474), Ru at (0.000, 0.500, 0.232) and Se at (0.000, 0.500, 0.705).

***

An optimized crystal structure of Os2RuSe. Source: Alexandria, functional PBE-GGA.

As for the mass density: 15.7 g cm⁻³. The uncorrected formation energy comes out at 734 meV/atom.

The structure belongs to space group Cmmm (No. 65); the cell edges are 5.556, 7.606 and 2.813 Å and the angles 90.00°, 90.00° and 90.00°. The inequivalent atoms are Os at (0.250, 0.250, 0.000), Ru at (0.000, 0.000, 0.500) and Se at (0.000, 0.500, 0.500).

***

An optimized crystal structure of OsRu2Se. Source: Alexandria, functional PBE-GGA.

As for the mass density: 13.1 g cm⁻³. The uncorrected formation energy comes out at 565 meV/atom.

The structure belongs to space group P4/mmm (No. 123); the cell edges are 4.602, 4.602 and 2.816 Å and the angles 90.00°, 90.00° and 90.00°. The inequivalent atoms are Os at (0.000, 0.000, 0.000), Ru at (0.000, 0.500, 0.500) and Se at (0.500, 0.500, 0.000).

***

An optimized crystal structure of OsRuSe2. Source: Alexandria, functional PBE-GGA.

As for the mass density: 10.0 g cm⁻³. As for the offset from the most stable computed form: 0.00 eV per formula unit. The uncorrected formation energy comes out at 157 meV/atom.

The structure belongs to space group P4mm (No. 99); the cell edges are 2.965, 2.965 and 8.469 Å and the angles 90.00°, 90.00° and 90.00°. The inequivalent atoms are Os at (0.000, 0.000, 0.000), Ru at (0.500, 0.500, 0.242), Se at (0.000, 0.000, 0.408) and Se at (0.500, 0.500, 0.833).

***

An optimized crystal structure of OsRuSe2. Source: Alexandria, functional PBE-GGA.

As for the mass density: 11.6 g cm⁻³. As for the offset from the most stable computed form: 2.82 eV per formula unit. The uncorrected formation energy comes out at 862 meV/atom.

The structure belongs to space group Cmmm (No. 65); the cell edges are 2.926, 5.051 and 8.699 Å and the angles 90.00°, 90.00° and 90.00°. The inequivalent atoms are Os at (0.000, 0.000, 0.000), Ru at (0.000, 0.000, 0.500) and Se at (0.000, 0.500, 0.252).

***

An optimized crystal structure of OsRu2Se. Source: Alexandria, functional PBE-GGA.

As for the mass density: 13.3 g cm⁻³. The uncorrected formation energy comes out at 289 meV/atom.

The structure belongs to space group P4/mmm (No. 123); the cell edges are 2.860, 2.860 and 7.168 Å and the angles 90.00°, 90.00° and 90.00°. The inequivalent atoms are Os at (0.000, 0.000, 0.000), Ru at (0.500, 0.500, 0.250) and Se at (0.000, 0.000, 0.500).

***

An optimized crystal structure of OsRu2Se. Source: Alexandria, functional PBE-GGA.

As for the mass density: 13.4 g cm⁻³. The uncorrected formation energy comes out at 442 meV/atom.

The structure belongs to space group Imm2 (No. 44); the cell edges are 2.921, 4.404 and 9.090 Å and the angles 90.00°, 90.00° and 90.00°. The inequivalent atoms are Os at (0.000, 0.000, 0.000), Ru at (0.000, 0.000, 0.446), Ru at (0.000, 0.500, 0.230) and Se at (0.000, 0.500, 0.724).

***

An optimized crystal structure of OsRu2Se. Source: Alexandria, functional PBE-GGA.

As for the mass density: 12.9 g cm⁻³. The uncorrected formation energy comes out at 473 meV/atom.

The structure belongs to space group Pmm2 (No. 25); the cell edges are 2.850, 3.700 and 5.747 Å and the angles 90.00°, 90.00° and 90.00°. The inequivalent atoms are Os at (0.000, 0.000, 0.000), Ru at (0.000, 0.000, 0.478), Ru at (0.500, 0.500, 0.203) and Se at (0.500, 0.500, 0.658).

***

An optimized crystal structure of OsRu3Se. Source: Alexandria, functional PBE-GGA.

As for the mass density: 10.8 g cm⁻³. As for the offset from the most stable computed form: 0.00 eV per formula unit. The uncorrected formation energy comes out at 1589 meV/atom.

The structure belongs to space group Pm-3m (No. 221); the cell edges are 4.449, 4.449 and 4.449 Å and the angles 90.00°, 90.00° and 90.00°. The inequivalent atoms are Os at (0.000, 0.000, 0.000), Ru at (0.000, 0.500, 0.500) and Se at (0.500, 0.500, 0.500).

***

An optimized crystal structure of Os2RuSe. Source: Alexandria, functional PBE-GGA.

As for the mass density: 11.0 g cm⁻³. The uncorrected formation energy comes out at 1022 meV/atom.

The structure belongs to space group I-42d (No. 122); the cell edges are 5.596, 5.596 and 10.768 Å and the angles 90.00°, 90.00° and 90.00°. The inequivalent atoms are Os at (0.247, 0.250, 0.125), Ru at (0.000, 0.000, 0.000) and Se at (0.000, 0.000, 0.500).

***

An optimized crystal structure of Os2RuSe. Source: Alexandria, functional PBE-GGA.

As for the mass density: 15.7 g cm⁻³. The uncorrected formation energy comes out at 583 meV/atom.

The structure belongs to space group P4/mmm (No. 123); the cell edges are 2.858, 2.858 and 7.238 Å and the angles 90.00°, 90.00° and 90.00°. The inequivalent atoms are Os at (0.000, 0.000, 0.250), Ru at (0.500, 0.500, 0.000) and Se at (0.500, 0.500, 0.500).

***

An optimized crystal structure of OsRuSe2. Source: Alexandria, functional PBE-GGA.

As for the mass density: 8.9 g cm⁻³. As for the offset from the most stable computed form: 0.93 eV per formula unit. The uncorrected formation energy comes out at 389 meV/atom.

The structure belongs to space group I-42d (No. 122); the cell edges are 5.508, 5.508 and 11.036 Å and the angles 90.00°, 90.00° and 90.00°. The inequivalent atoms are Os at (0.000, 0.000, 0.000), Ru at (0.000, 0.000, 0.500) and Se at (0.249, 0.250, 0.125).

***

An optimized crystal structure of OsRuSe2. Source: Alexandria, functional PBE-GGA.

As for the mass density: 11.0 g cm⁻³. As for the offset from the most stable computed form: 2.16 eV per formula unit. The uncorrected formation energy comes out at 697 meV/atom.

The structure belongs to space group C2/m (No. 12); the cell edges are 5.975, 8.241 and 2.749 Å and the angles 90.00°, 90.17° and 90.00°. The inequivalent atoms are Os at (0.000, 0.000, 0.000), Ru at (0.000, 0.500, 0.000) and Se at (0.250, 0.250, 0.000).

***

An optimized crystal structure of OsRuSe2. Source: Alexandria, functional PBE-GGA.

As for the mass density: 11.9 g cm⁻³. As for the offset from the most stable computed form: 1.22 eV per formula unit. The uncorrected formation energy comes out at 462 meV/atom.

The structure belongs to space group Cm (No. 8); the cell edges are 9.325, 3.064 and 4.496 Å and the angles 90.00°, 101.59° and 90.00°. The inequivalent atoms are Os at (0.000, 0.000, 0.000), Ru at (0.254, 0.500, 0.344), Se at (0.260, 0.000, 0.866) and Se at (0.499, 0.000, 0.454).

***

An optimized crystal structure of Os2RuSe. Source: Alexandria, functional PBE-GGA.

As for the mass density: 15.5 g cm⁻³. The uncorrected formation energy comes out at 671 meV/atom.

The structure belongs to space group Pmmm (No. 47); the cell edges are 2.821, 3.735 and 5.711 Å and the angles 90.00°, 90.00° and 90.00°. The inequivalent atoms are Os at (0.000, 0.000, 0.232), Ru at (0.500, 0.500, 0.000) and Se at (0.500, 0.500, 0.500).